Below is an optimized crystal structure of CoSbTe2, with properties calculated at the PBE level.

Cell and atoms, written as extended XYZ:
```
4
Lattice="3.8119 0.0000 0.0000 0.0000 5.4664 0.0370 0.0000 2.9360 4.6112" Properties=species:S:1:pos:R:3 pbc="T T T"
Co 0.0000 4.2262 2.3379
Sb 1.9060 5.7040 3.1555
Te 0.0000 8.3270 4.6065
Te 1.9060 2.7490 1.5207
```

Output
Symmetry   Amm2 (38)
Density   7.57 Mg/m³
Energy relative to the elements, uncorrected   -26 meV/atom
Magnetization   0.00 μB per cell
Density of states at the Fermi level   2.5 states/eV per cell
Calculated volume   95.7 Å³ per cell